(1)
Here is a relaxed structure of AcZn11Fe from Alexandria via LeMat-Bulk. Energies are from PBE-GGA.

The structure in POSCAR format:
```
AcZn11Fe
1.0
2.548 -6.528 0.000
2.548 6.528 0.000
-2.466 0.000 6.479
Ac Zn Fe
1 11 1
Direct
0.000 0.000 0.000 Ac
0.000 0.000 0.500 Zn
0.000 0.500 0.000 Zn
0.023 0.371 0.364 Zn
0.272 0.503 0.763 Zn
0.371 0.023 0.364 Zn
0.497 0.728 0.237 Zn
0.500 0.000 0.000 Zn
0.503 0.272 0.763 Zn
0.629 0.977 0.636 Zn
0.728 0.497 0.237 Zn
0.977 0.629 0.636 Zn
0.500 0.500 0.500 Fe
```

Properties
As for the energy relative to the elements: -0.122 eV/atom. The crystal system is monoclinic. The value obtained for the raw total energy is -2.167 eV per atom.

---

(2)
Here is a relaxed structure of AcZn3Fe from Alexandria via LeMat-Bulk. Energies are from PBE-GGA.

The structure in POSCAR format:
```
AcZn3Fe
1.0
4.727 0.000 0.000
0.000 4.727 0.000
0.000 0.000 4.727
Ac Zn Fe
1 3 1
Direct
0.000 0.000 0.000 Ac
0.000 0.500 0.500 Zn
0.500 0.000 0.500 Zn
0.500 0.500 0.000 Zn
0.500 0.500 0.500 Fe
```

Properties
As for the energy relative to the elements: -0.049 eV/atom. The crystal system is cubic. The value obtained for the raw total energy is -3.328 eV per atom.

---

(3)
Here is a relaxed structure of AcZrFe4 from Alexandria via LeMat-Bulk. Energies are from PBE-GGA.

The structure in POSCAR format:
```
AcZrFe4
1.0
0.000 3.669 3.669
3.669 0.000 3.669
3.669 3.669 0.000
Ac Zr Fe
1 1 4
Direct
0.000 0.000 0.000 Ac
0.750 0.750 0.750 Zr
0.376 0.376 0.376 Fe
0.376 0.376 0.872 Fe
0.376 0.872 0.376 Fe
0.872 0.376 0.376 Fe
```

Properties
As for the energy relative to the elements: 0.123 eV/atom. The crystal system is cubic. The value obtained for the raw total energy is -7.628 eV per atom.

---

(4)
Here is a relaxed structure of Ac3Ga from Alexandria via LeMat-Bulk. Energies are from PBE-GGA.

The structure in POSCAR format:
```
Ac3Ga
1.0
-6.660 6.660 3.361
6.660 -6.660 3.361
6.660 6.660 -3.361
Ac Ga
12 4
Direct
0.077 0.035 0.609 Ac
0.118 0.316 0.964 Ac
0.121 0.451 0.603 Ac
0.352 0.154 0.036 Ac
0.425 0.467 0.391 Ac
0.482 0.879 0.330 Ac
0.533 0.923 0.958 Ac
0.549 0.152 0.670 Ac
0.684 0.648 0.802 Ac
0.846 0.882 0.198 Ac
0.848 0.518 0.397 Ac
0.965 0.575 0.042 Ac
0.067 0.720 0.746 Ga
0.280 0.026 0.346 Ga
0.680 0.933 0.654 Ga
0.974 0.320 0.254 Ga
```

Properties
The polymorph energy (0 for the lowest one) is 0 meV per atom. As for the energy relative to the elements: -0.212 eV/atom. The crystal system is tetragonal. The value obtained for the raw total energy is -4.050 eV per atom.

---

(5)
Here is a relaxed structure of Ac3Ga8 from Alexandria via LeMat-Bulk. Energies are from PBE-GGA.

The structure in POSCAR format:
```
Ac3Ga8
1.0
-2.207 2.337 12.885
2.207 -2.337 12.885
2.207 2.337 -12.885
Ac Ga
3 8
Direct
0.000 0.000 0.000 Ac
0.147 0.647 0.500 Ac
0.853 0.353 0.500 Ac
0.248 0.248 0.000 Ga
0.304 0.804 0.500 Ga
0.403 0.903 0.500 Ga
0.451 0.451 0.000 Ga
0.549 0.549 0.000 Ga
0.597 0.097 0.500 Ga
0.696 0.196 0.500 Ga
0.752 0.752 0.000 Ga
```

Properties
As for the energy relative to the elements: -0.591 eV/atom. The crystal system is orthorhombic. The value obtained for the raw total energy is -3.912 eV per atom.

---

(6)
Here is a relaxed structure of AcGa4 from Alexandria via LeMat-Bulk. Energies are from PBE-GGA.

The structure in POSCAR format:
```
AcGa4
1.0
0.000 3.292 5.101
3.279 0.000 5.101
3.279 3.292 0.000
Ac Ga
1 4
Direct
0.000 0.000 0.000 Ac
0.250 0.250 0.250 Ga
0.375 0.375 0.625 Ga
0.625 0.625 0.375 Ga
0.750 0.750 0.750 Ga
```

Properties
The polymorph energy (0 for the lowest one) is 0 meV per atom. As for the energy relative to the elements: -0.474 eV/atom. The crystal system is orthorhombic. The value obtained for the raw total energy is -3.718 eV per atom.

---

(7)
Here is a relaxed structure of Ac7Ga3 from Alexandria via LeMat-Bulk. Energies are from PBE-GGA.

The structure in POSCAR format:
```
Ac7Ga3
1.0
11.152 0.000 0.000
-5.576 9.658 0.000
0.000 0.000 6.904
Ac Ga
14 6
Direct
0.087 0.544 0.000 Ac
0.123 0.247 0.736 Ac
0.123 0.877 0.736 Ac
0.247 0.123 0.236 Ac
0.333 0.667 0.523 Ac
0.456 0.544 0.000 Ac
0.456 0.913 0.000 Ac
0.544 0.087 0.500 Ac
0.544 0.456 0.500 Ac
0.667 0.333 0.023 Ac
0.753 0.877 0.736 Ac
0.877 0.123 0.236 Ac
0.877 0.753 0.236 Ac
0.913 0.456 0.500 Ac
0.189 0.377 0.290 Ga
0.189 0.811 0.290 Ga
0.377 0.189 0.790 Ga
0.623 0.811 0.290 Ga
0.811 0.189 0.790 Ga
0.811 0.623 0.790 Ga
```

Properties
As for the energy relative to the elements: -0.282 eV/atom. The crystal system is hexagonal. The value obtained for the raw total energy is -4.066 eV per atom.

---

(8)
Here is a relaxed structure of Ac2Ga3 from Alexandria via LeMat-Bulk. Energies are from PBE-GGA.

The structure in POSCAR format:
```
Ac2Ga3
1.0
2.347 -13.690 0.000
2.347 13.690 0.000
0.000 0.000 4.389
Ac Ga
4 6
Direct
0.071 0.929 0.750 Ac
0.202 0.798 0.250 Ac
0.798 0.202 0.750 Ac
0.929 0.071 0.250 Ac
0.332 0.668 0.250 Ga
0.384 0.616 0.750 Ga
0.477 0.523 0.750 Ga
0.523 0.477 0.250 Ga
0.616 0.384 0.250 Ga
0.668 0.332 0.750 Ga
```

Properties
The polymorph energy (0 for the lowest one) is 0 meV per atom. As for the energy relative to the elements: -0.595 eV/atom. The crystal system is orthorhombic. The value obtained for the raw total energy is -4.055 eV per atom.

---

(9)
Here is a relaxed structure of Ac3Ga11 from Alexandria via LeMat-Bulk. Energies are from PBE-GGA.

The structure in POSCAR format:
```
Ac3Ga11
1.0
-2.257 5.137 6.783
2.257 -5.137 6.783
2.257 5.137 -6.783
Ac Ga
3 11
Direct
0.000 0.000 0.000 Ac
0.322 0.322 0.000 Ac
0.678 0.678 0.000 Ac
0.035 0.665 0.370 Ga
0.120 0.853 0.267 Ga
0.277 0.500 0.777 Ga
0.295 0.665 0.630 Ga
0.415 0.147 0.267 Ga
0.500 0.000 0.500 Ga
0.585 0.853 0.733 Ga
0.705 0.335 0.370 Ga
0.723 0.500 0.223 Ga
0.880 0.147 0.733 Ga
0.965 0.335 0.630 Ga
```

Properties
As for the energy relative to the elements: -0.468 eV/atom. The crystal system is orthorhombic. The value obtained for the raw total energy is -3.726 eV per atom.

---

(10)
Here is a relaxed structure of AcGa4 from Alexandria via LeMat-Bulk. Energies are from PBE-GGA.

The structure in POSCAR format:
```
AcGa4
1.0
5.998 0.000 0.000
0.000 5.998 0.000
0.000 0.000 5.998
Ac Ga
1 4
Direct
0.000 0.000 0.000 Ac
0.000 0.000 0.500 Ga
0.000 0.500 0.000 Ga
0.500 0.000 0.000 Ga
0.500 0.500 0.500 Ga
```

Properties
The polymorph energy (0 for the lowest one) is 1356 meV per atom. As for the energy relative to the elements: 0.882 eV/atom. The crystal system is cubic. The value obtained for the raw total energy is -2.361 eV per atom.

---

(11)
Here is a relaxed structure of Ac3Ga from Alexandria via LeMat-Bulk. Energies are from PBE-GGA.

The structure in POSCAR format:
```
Ac3Ga
1.0
-2.572 2.572 5.462
2.572 -2.572 5.462
2.572 2.572 -5.462
Ac Ga
3 1
Direct
0.000 0.000 0.000 Ac
0.250 0.750 0.500 Ac
0.750 0.250 0.500 Ac
0.500 0.500 0.000 Ga
```

Properties
The polymorph energy (0 for the lowest one) is 136 meV per atom. As for the energy relative to the elements: -0.077 eV/atom. The crystal system is tetragonal. The value obtained for the raw total energy is -3.915 eV per atom.

---

(12)
Here is a relaxed structure of Ac3Ga2 from Alexandria via LeMat-Bulk. Energies are from PBE-GGA.

The structure in POSCAR format:
```
Ac3Ga2
1.0
4.756 -2.746 0.000
4.756 2.746 0.000
-0.002 0.000 6.692
Ac Ga
3 2
Direct
0.000 0.000 0.000 Ac
0.333 0.333 0.334 Ac
0.667 0.667 0.666 Ac
0.333 0.333 0.826 Ga
0.667 0.667 0.174 Ga
```

Properties
As for the energy relative to the elements: -0.293 eV/atom. The crystal system is monoclinic. The value obtained for the raw total energy is -3.969 eV per atom.

---

(13)
Here is a relaxed structure of Ac2Ga3 from Alexandria via LeMat-Bulk. Energies are from PBE-GGA.

The structure in POSCAR format:
```
Ac2Ga3
1.0
3.038 -5.457 0.000
3.038 5.457 0.000
0.000 0.000 8.196
Ac Ga
4 6
Direct
0.156 0.844 0.899 Ac
0.344 0.656 0.399 Ac
0.656 0.344 0.601 Ac
0.844 0.156 0.101 Ac
0.000 0.000 0.500 Ga
0.152 0.348 0.750 Ga
0.348 0.152 0.250 Ga
0.500 0.500 0.000 Ga
0.652 0.848 0.750 Ga
0.848 0.652 0.250 Ga
```

Properties
The polymorph energy (0 for the lowest one) is 94 meV per atom. As for the energy relative to the elements: -0.501 eV/atom. The crystal system is orthorhombic. The value obtained for the raw total energy is -3.961 eV per atom.

---

(14)
Here is a relaxed structure of Ac3Ga from Alexandria via LeMat-Bulk. Energies are from PBE-GGA.

The structure in POSCAR format:
```
Ac3Ga
1.0
3.855 0.000 0.000
0.000 3.920 0.000
0.000 0.000 10.793
Ac Ga
3 1
Direct
0.000 0.000 0.000 Ac
0.000 0.500 0.406 Ac
0.500 0.500 0.727 Ac
0.500 0.000 0.241 Ga
```

Properties
The polymorph energy (0 for the lowest one) is 217 meV per atom. As for the energy relative to the elements: 0.005 eV/atom. The crystal system is orthorhombic. The value obtained for the raw total energy is -3.833 eV per atom.

---

(15)
Here is a relaxed structure of Ac3Ga from Alexandria via LeMat-Bulk. Energies are from PBE-GGA.

The structure in POSCAR format:
```
Ac3Ga
1.0
5.241 0.000 0.000
0.000 5.241 0.000
0.000 0.000 5.241
Ac Ga
3 1
Direct
0.000 0.000 0.500 Ac
0.000 0.500 0.000 Ac
0.500 0.000 0.000 Ac
0.500 0.500 0.500 Ga
```

Properties
The polymorph energy (0 for the lowest one) is 124 meV per atom. As for the energy relative to the elements: -0.089 eV/atom. The crystal system is cubic. The value obtained for the raw total energy is -3.927 eV per atom.

---

(16)
Here is a relaxed structure of AcGa from Alexandria via LeMat-Bulk. Energies are from PBE-GGA.

The structure in POSCAR format:
```
AcGa
1.0
0.000 3.284 3.284
3.284 0.000 3.284
3.284 3.284 0.000
Ac Ga
1 1
Direct
0.000 0.000 0.000 Ac
0.500 0.500 0.500 Ga
```

Properties
As for the energy relative to the elements: -0.158 eV/atom. The crystal system is cubic. The value obtained for the raw total energy is -3.726 eV per atom.

---

(17)
Here is a relaxed structure of Ac3Ga from Alexandria via LeMat-Bulk. Energies are from PBE-GGA.

The structure in POSCAR format:
```
Ac3Ga
1.0
-2.047 2.945 6.301
2.047 -2.945 6.301
2.047 2.945 -6.301
Ac Ga
3 1
Direct
0.000 0.000 0.000 Ac
0.295 0.795 0.500 Ac
0.705 0.205 0.500 Ac
0.500 0.500 0.000 Ga
```

Properties
The polymorph energy (0 for the lowest one) is 29 meV per atom. As for the energy relative to the elements: -0.184 eV/atom. The crystal system is orthorhombic. The value obtained for the raw total energy is -4.022 eV per atom.

---

(18)
Here is a relaxed structure of AcGa from Alexandria via LeMat-Bulk. Energies are from PBE-GGA.

The structure in POSCAR format:
```
AcGa
1.0
4.738 0.000 0.000
0.000 4.373 0.000
-2.369 0.000 5.971
Ac Ga
2 2
Direct
0.142 0.250 0.283 Ac
0.858 0.750 0.717 Ac
0.434 0.250 0.869 Ga
0.566 0.750 0.131 Ga
```

Properties
As for the energy relative to the elements: -0.520 eV/atom. The crystal system is monoclinic. The value obtained for the raw total energy is -4.088 eV per atom.

---

(19)
Here is a relaxed structure of Ac5Ga4 from Alexandria via LeMat-Bulk. Energies are from PBE-GGA.

The structure in POSCAR format:
```
Ac5Ga4
1.0
6.091 -2.399 0.000
6.091 2.399 0.000
-4.074 0.000 10.104
Ac Ga
5 4
Direct
0.000 0.000 0.000 Ac
0.113 0.113 0.395 Ac
0.234 0.234 0.826 Ac
0.766 0.766 0.174 Ac
0.887 0.887 0.605 Ac
0.400 0.400 0.393 Ga
0.460 0.460 0.180 Ga
0.540 0.540 0.820 Ga
0.600 0.600 0.607 Ga
```

Properties
As for the energy relative to the elements: -0.444 eV/atom. The crystal system is monoclinic. The value obtained for the raw total energy is -4.071 eV per atom.

---

(20)
Here is a relaxed structure of AcGa5 from Alexandria via LeMat-Bulk. Energies are from PBE-GGA.

The structure in POSCAR format:
```
AcGa5
1.0
2.280 -6.344 0.000
2.280 6.344 0.000
0.000 0.000 4.654
Ac Ga
1 5
Direct
0.000 0.000 0.000 Ac
0.181 0.819 0.500 Ga
0.309 0.691 0.000 Ga
0.500 0.500 0.500 Ga
0.691 0.309 0.000 Ga
0.819 0.181 0.500 Ga
```

Properties
The polymorph energy (0 for the lowest one) is 115 meV per atom. As for the energy relative to the elements: -0.261 eV/atom. The crystal system is orthorhombic. The value obtained for the raw total energy is -3.468 eV per atom.

---

(21)
Here is a relaxed structure of AcGa5 from Alexandria via LeMat-Bulk. Energies are from PBE-GGA.

The structure in POSCAR format:
```
AcGa5
1.0
4.671 0.000 0.000
-2.335 4.045 0.000
0.000 0.000 6.871
Ac Ga
1 5
Direct
0.000 0.000 0.000 Ac
0.000 0.000 0.500 Ga
0.333 0.667 0.301 Ga
0.333 0.667 0.699 Ga
0.667 0.333 0.301 Ga
0.667 0.333 0.699 Ga
```

Properties
The polymorph energy (0 for the lowest one) is 0 meV per atom. As for the energy relative to the elements: -0.376 eV/atom. The crystal system is hexagonal. The value obtained for the raw total energy is -3.583 eV per atom.

---

(22)
Here is a relaxed structure of AcGa7 from Alexandria via LeMat-Bulk. Energies are from PBE-GGA.

The structure in POSCAR format:
```
AcGa7
1.0
5.202 -3.830 0.000
5.202 3.830 0.000
-1.923 0.000 4.339
Ac Ga
1 7
Direct
0.000 0.000 0.000 Ac
0.177 0.537 0.334 Ga
0.242 0.242 0.705 Ga
0.463 0.823 0.666 Ga
0.500 0.500 0.000 Ga
0.537 0.177 0.334 Ga
0.758 0.758 0.295 Ga
0.823 0.463 0.666 Ga
```

Properties
As for the energy relative to the elements: -0.213 eV/atom. The crystal system is monoclinic. The value obtained for the raw total energy is -3.375 eV per atom.

---

(23)
Here is a relaxed structure of Ac3Ga from Alexandria via LeMat-Bulk. Energies are from PBE-GGA.

The structure in POSCAR format:
```
Ac3Ga
1.0
0.000 4.196 4.196
4.196 0.000 4.196
4.196 4.196 0.000
Ac Ga
3 1
Direct
0.000 0.000 0.000 Ac
0.250 0.250 0.250 Ac
0.750 0.750 0.750 Ac
0.500 0.500 0.500 Ga
```

Properties
The polymorph energy (0 for the lowest one) is 273 meV per atom. As for the energy relative to the elements: 0.061 eV/atom. The crystal system is cubic. The value obtained for the raw total energy is -3.777 eV per atom.

---

(24)
Here is a relaxed structure of AcGdGaGe from Alexandria via LeMat-Bulk. Energies are from PBE-GGA.

The structure in POSCAR format:
```
AcGdGaGe
1.0
0.000 3.768 3.768
3.768 0.000 3.768
3.768 3.768 0.000
Ac Gd Ga Ge
1 1 1 1
Direct
0.000 0.000 0.000 Ac
0.500 0.500 0.500 Gd
0.750 0.750 0.750 Ga
0.250 0.250 0.250 Ge
```

Properties
As for the energy relative to the elements: -0.514 eV/atom. The crystal system is cubic. The value obtained for the raw total energy is -6.972 eV per atom.

---

(25)
Here is a relaxed structure of AcGdInGa from Alexandria via LeMat-Bulk. Energies are from PBE-GGA.

The structure in POSCAR format:
```
AcGdInGa
1.0
0.000 3.881 3.881
3.881 0.000 3.881
3.881 3.881 0.000
Ac Gd In Ga
1 1 1 1
Direct
0.000 0.000 0.000 Ac
0.500 0.500 0.500 Gd
0.750 0.750 0.750 In
0.250 0.250 0.250 Ga
```

Properties
As for the energy relative to the elements: -0.429 eV/atom. The crystal system is cubic. The value obtained for the raw total energy is -6.417 eV per atom.